Record 1
The following is a PBE-GGA calculation of a relaxed structure of HgH4NCl3, from the Alexandria database. Values from VASP.

Geometry as Quantum ESPRESSO input:
```
&SYSTEM
  ibrav = 0, nat = 36, ntyp = 4
/
ATOMIC_SPECIES
Hg 200.59 Hg.upf
H 1.01 H.upf
N 14.01 N.upf
Cl 35.45 Cl.upf
ATOMIC_POSITIONS crystal
Hg 0.000 0.000 0.000
Hg 0.177 0.392 0.484
Hg 0.484 0.133 0.037
Hg 0.669 0.571 0.492
H 0.081 0.387 0.837
H 0.102 0.787 0.465
H 0.105 0.581 0.830
H 0.121 0.983 0.453
H 0.152 0.888 0.337
H 0.244 0.454 0.904
H 0.263 0.467 0.763
H 0.305 0.866 0.434
H 0.570 0.551 0.107
H 0.586 0.040 0.749
H 0.633 0.724 0.145
H 0.659 0.941 0.640
H 0.745 0.556 0.187
H 0.762 0.637 0.051
H 0.765 0.913 0.761
H 0.784 0.083 0.675
N 0.169 0.882 0.421
N 0.174 0.473 0.833
N 0.677 0.616 0.122
N 0.698 0.994 0.706
Cl 0.068 0.148 0.579
Cl 0.195 0.905 0.146
Cl 0.349 0.078 0.865
Cl 0.358 0.548 0.344
Cl 0.361 0.406 0.061
Cl 0.480 0.395 0.633
Cl 0.580 0.858 0.490
Cl 0.680 0.983 0.166
Cl 0.844 0.226 0.900
Cl 0.856 0.448 0.343
Cl 0.904 0.766 0.898
Cl 0.985 0.610 0.594
CELL_PARAMETERS angstrom
7.490 0.000 0.000
0.428 8.592 0.000
0.986 1.481 12.059
```

Density = 2.78 g/cm3
VASP energy = -3.69 eV/atom
Space-group type = P1

Record 2
The following is a PBE-GGA calculation of a relaxed structure of TbEuAgPb, from the Alexandria database. Values from VASP.

Geometry as Quantum ESPRESSO input:
```
&SYSTEM
  ibrav = 0, nat = 4, ntyp = 4
/
ATOMIC_SPECIES
Tb 158.93 Tb.upf
Eu 151.96 Eu.upf
Ag 107.87 Ag.upf
Pb 207.20 Pb.upf
ATOMIC_POSITIONS crystal
Tb 0.000 0.000 0.000
Eu 0.500 0.500 0.500
Ag 0.750 0.750 0.750
Pb 0.250 0.250 0.250
CELL_PARAMETERS angstrom
0.000 3.827 3.827
3.827 0.000 3.827
3.827 3.827 0.000
```

Density = 9.28 g/cm3
Energy of formation from the pure elements = -0.43 eV/atom
VASP energy = -5.80 eV/atom
Space-group type = F-43m

Record 3
The following is a PBE-GGA calculation of a relaxed structure of Y2PW, from the Alexandria database. Values from VASP.

Geometry as Quantum ESPRESSO input:
```
&SYSTEM
  ibrav = 0, nat = 4, ntyp = 3
/
ATOMIC_SPECIES
Y 88.91 Y.upf
P 30.97 P.upf
W 183.84 W.upf
ATOMIC_POSITIONS crystal
Y 0.228 0.228 0.227
Y 0.772 0.772 0.773
P 0.500 0.500 0.000
W 0.000 0.000 0.500
CELL_PARAMETERS angstrom
4.629 -2.032 0.000
4.629 2.032 0.000
-1.927 0.000 4.504
```

Density = 7.69 g/cm3
Energy of formation from the pure elements = 0.18 eV/atom
VASP energy = -7.64 eV/atom
Space-group type = C2/m

Record 4
The following is a PBE-GGA calculation of a relaxed structure of Be2CoAs, from the Alexandria database. Values from VASP.

Geometry as Quantum ESPRESSO input:
```
&SYSTEM
  ibrav = 0, nat = 4, ntyp = 3
/
ATOMIC_SPECIES
Be 9.01 Be.upf
Co 58.93 Co.upf
As 74.92 As.upf
ATOMIC_POSITIONS crystal
Be 0.241 0.241 0.241
Be 0.759 0.759 0.759
Co 0.500 0.500 0.500
As 0.000 0.000 0.000
CELL_PARAMETERS angstrom
1.374 0.794 7.130
-1.374 0.794 7.130
0.000 -1.587 7.130
```

Density = 5.40 g/cm3
Energy of formation from the pure elements = 0.30 eV/atom
VASP energy = -4.50 eV/atom
Space-group type = R-3m